Computed, not measured: a relaxed BaTmCdHg crystal at the PBE level of DFT.

It has space group F-43m (No. 216), with a = 7.9054 Å, b = 7.9054 Å, c = 7.9054 Å, α = 90.00°, β = 90.00° and γ = 90.00°. The distinct sites, in fractional coordinates, are Ba at (0.0000, 0.0000, 0.0000), Tm at (0.0000, 0.0000, 0.5000), Cd at (0.2500, 0.2500, 0.7500) and Hg at (0.2500, 0.2500, 0.2500).

The calculated formation energy comes out at -0.25 eV/atom. The total magnetization is 0.00 μB per formula unit. For the density, the calculation gives 8.33 g/cm3.

---

Computed, not measured: a relaxed Ba2YCd3Hg12 crystal at the PBE level of DFT.

It has space group R-3m (No. 166, hexagonal axes), with a = 7.1454 Å, b = 7.1454 Å, c = 37.3276 Å, α = 90.00°, β = 90.00° and γ = 120.00°. The distinct sites, in fractional coordinates, are Ba at (0.0000, 0.0000, 0.1368), Y at (0.0000, 0.0000, 0.5000), Cd at (0.0000, 0.5000, 0.0000), Hg at (0.0180, 0.5090, 0.8894) and Hg at (0.0427, 0.5214, 0.6140).

The calculated formation energy comes out at -0.17 eV/atom. The total magnetization is 0.00 μB per formula unit. For the density, the calculation gives 9.38 g/cm3.

---

Computed, not measured: a relaxed Ba2YCdHg6 crystal at the PBE level of DFT.

It has space group P-1 (No. 2), with a = 6.9451 Å, b = 7.4506 Å, c = 7.9310 Å, α = 76.88°, β = 67.05° and γ = 62.47°. The distinct sites, in fractional coordinates, are Ba at (0.2494, 0.3070, 0.2356), Y at (0.0000, 0.0000, 0.0000), Cd at (0.5000, 0.5000, 0.5000), Hg at (0.1781, 0.9110, 0.6021), Hg at (0.2723, 0.2297, 0.7310) and Hg at (0.3382, 0.7523, 0.1945).

The calculated formation energy comes out at -0.29 eV/atom. The total magnetization is 0.00 μB per formula unit. For the density, the calculation gives 8.34 g/cm3.

---

Computed, not measured: a relaxed Ba2Zn3Cd4Hg crystal at the PBE level of DFT.

It has space group P-4m2 (No. 115), with a = 4.7983 Å, b = 4.7983 Å, c = 11.6911 Å, α = 90.00°, β = 90.00° and γ = 90.00°. The distinct sites, in fractional coordinates, are Ba at (0.0000, 0.5000, 0.2479), Zn at (0.0000, 0.5000, 0.8736), Zn at (0.5000, 0.5000, 0.5000), Cd at (0.0000, 0.0000, 0.0000), Cd at (0.0000, 0.5000, 0.6391), Cd at (0.5000, 0.5000, 0.0000) and Hg at (0.0000, 0.0000, 0.5000).

The calculated formation energy comes out at -0.23 eV/atom. The total magnetization is 0.00 μB per formula unit. For the density, the calculation gives 6.92 g/cm3.

---

Computed, not measured: a relaxed Ba2ZnCd4Hg3 crystal at the PBE level of DFT.

It has space group P-4m2 (No. 115), with a = 4.7102 Å, b = 4.7102 Å, c = 12.9218 Å, α = 90.00°, β = 90.00° and γ = 90.00°. The distinct sites, in fractional coordinates, are Ba at (0.0000, 0.5000, 0.2460), Zn at (0.5000, 0.5000, 0.0000), Cd at (0.0000, 0.0000, 0.5000), Cd at (0.0000, 0.5000, 0.8696), Cd at (0.5000, 0.5000, 0.5000), Hg at (0.0000, 0.0000, 0.0000) and Hg at (0.0000, 0.5000, 0.6434).

The calculated formation energy comes out at -0.30 eV/atom. The total magnetization is 0.00 μB per formula unit. For the density, the calculation gives 8.06 g/cm3.

---

Computed, not measured: a relaxed BaZnCd8Hg2 crystal at the PBE level of DFT.

It has space group C2/m (No. 12), with a = 10.5597 Å, b = 5.8806 Å, c = 10.8306 Å, α = 90.00°, β = 117.43° and γ = 90.00°. The distinct sites, in fractional coordinates, are Ba at (0.0000, 0.0000, 0.0000), Zn at (0.0000, 0.5000, 0.5000), Cd at (0.0100, 0.0000, 0.3638), Cd at (0.0594, 0.5000, 0.7854), Cd at (0.2463, 0.2519, 0.3534) and Hg at (0.2182, 0.5000, 0.0898).

The calculated formation energy comes out at -0.12 eV/atom. The total magnetization is 0.00 μB per formula unit. For the density, the calculation gives 8.36 g/cm3.

---

Computed, not measured: a relaxed Ba2Zn3CdHg4 crystal at the PBE level of DFT.

It has space group P-4m2 (No. 115), with a = 4.8362 Å, b = 4.8362 Å, c = 11.4528 Å, α = 90.00°, β = 90.00° and γ = 90.00°. The distinct sites, in fractional coordinates, are Ba at (0.0000, 0.5000, 0.2458), Zn at (0.0000, 0.5000, 0.8764), Zn at (0.5000, 0.5000, 0.5000), Cd at (0.0000, 0.0000, 0.5000), Hg at (0.0000, 0.0000, 0.0000), Hg at (0.0000, 0.5000, 0.6391) and Hg at (0.5000, 0.5000, 0.0000).

The calculated formation energy comes out at -0.28 eV/atom. The total magnetization is 0.00 μB per formula unit. For the density, the calculation gives 8.59 g/cm3.

---

Computed, not measured: a relaxed Ba2ZnCd3Hg4 crystal at the PBE level of DFT.

It has space group P-4m2 (No. 115), with a = 4.9649 Å, b = 4.9649 Å, c = 11.7233 Å, α = 90.00°, β = 90.00° and γ = 90.00°. The distinct sites, in fractional coordinates, are Ba at (0.0000, 0.5000, 0.2433), Zn at (0.5000, 0.5000, 0.0000), Cd at (0.0000, 0.0000, 0.0000), Cd at (0.0000, 0.5000, 0.6349), Hg at (0.0000, 0.0000, 0.5000), Hg at (0.0000, 0.5000, 0.8780) and Hg at (0.5000, 0.5000, 0.5000).

The calculated formation energy comes out at -0.29 eV/atom. The total magnetization is 0.00 μB per formula unit. For the density, the calculation gives 8.50 g/cm3.

---

Computed, not measured: a relaxed BaZnCd2Hg crystal at the PBE level of DFT.

It has space group P4/mmm (No. 123), with a = 5.2262 Å, b = 5.2262 Å, c = 5.4098 Å, α = 90.00°, β = 90.00° and γ = 90.00°. The distinct sites, in fractional coordinates, are Ba at (0.0000, 0.0000, 0.0000), Zn at (0.5000, 0.5000, 0.5000), Cd at (0.0000, 0.5000, 0.5000) and Hg at (0.5000, 0.5000, 0.0000).

The calculated formation energy comes out at -0.15 eV/atom. The total magnetization is 0.00 μB per formula unit. For the density, the calculation gives 7.06 g/cm3.

---

Computed, not measured: a relaxed Ba2ZnCdHg6 crystal at the PBE level of DFT.

It has space group P-1 (No. 2), with a = 5.8479 Å, b = 7.3180 Å, c = 7.4395 Å, α = 85.05°, β = 76.00° and γ = 76.39°. The distinct sites, in fractional coordinates, are Ba at (0.0210, 0.2805, 0.2692), Zn at (0.5000, 0.5000, 0.0000), Cd at (0.5000, 0.0000, 0.5000), Hg at (0.0387, 0.2189, 0.7570), Hg at (0.3625, 0.8875, 0.9288) and Hg at (0.4782, 0.6438, 0.3349).

The calculated formation energy comes out at -0.27 eV/atom. The total magnetization is 0.00 μB per formula unit. For the density, the calculation gives 9.16 g/cm3.

---

Computed, not measured: a relaxed BaZr2CdHg crystal at the PBE level of DFT.

It has space group P4/mmm (No. 123), with a = 5.5146 Å, b = 5.5146 Å, c = 5.4494 Å, α = 90.00°, β = 90.00° and γ = 90.00°. The distinct sites, in fractional coordinates, are Ba at (0.0000, 0.0000, 0.0000), Zr at (0.0000, 0.5000, 0.5000), Cd at (0.5000, 0.5000, 0.0000) and Hg at (0.5000, 0.5000, 0.5000).

The calculated formation energy comes out at 0.67 eV/atom. The total magnetization is 1.88 μB per formula unit. For the density, the calculation gives 6.34 g/cm3.

---

Computed, not measured: a relaxed BaHoCd4 crystal at the PBE level of DFT.

It has space group F-43m (No. 216), with a = 8.6762 Å, b = 8.6762 Å, c = 8.6762 Å, α = 90.00°, β = 90.00° and γ = 90.00°. The distinct sites, in fractional coordinates, are Ba at (0.0000, 0.0000, 0.0000), Ho at (0.2500, 0.2500, 0.7500) and Cd at (0.1242, 0.1242, 0.3758).

The calculated formation energy comes out at -0.19 eV/atom. The total magnetization is 0.00 μB per formula unit. For the density, the calculation gives 7.65 g/cm3.